1.
! AlRhBr2 GGA-PBE optimized geometry; values from VASP
! VASP energy = -3.99 eV per atom
! Energy above the lowest structure with this stoichiometry = 0.0 meV per atom
! Symmetry = Pm (6)
! Formation energy from raw total energies = -0.375 eV per atom
&SYSTEM
  ibrav = 0, nat = 4, ntyp = 3
/
ATOMIC_SPECIES
Br 79.90 Br.upf
Al 26.98 Al.upf
Rh 102.91 Rh.upf
ATOMIC_POSITIONS crystal
Br 0.5000 0.4091 0.3304
Br 0.0000 0.9891 0.9077
Al 0.5000 0.7885 0.6717
Rh 0.0000 0.3133 0.5902
CELL_PARAMETERS angstrom
3.4305 0.0000 0.0000
0.0000 3.5427 0.1262
0.0000 0.9913 7.7781



2.
! KAsRu2 GGA-PBE optimized geometry; values from VASP
! VASP energy = -5.77 eV per atom
! Symmetry = Cm (8)
! ΔH_f (0 K) = 0.304 eV/atom
&SYSTEM
  ibrav = 0, nat = 4, ntyp = 3
/
ATOMIC_SPECIES
Ru 101.07 Ru.upf
K 39.10 K.upf
As 74.92 As.upf
ATOMIC_POSITIONS crystal
Ru 0.7565 0.7565 0.7745
Ru 0.0210 0.0210 0.8703
K 0.2482 0.2482 0.2552
As 0.4743 0.4743 0.6000
CELL_PARAMETERS angstrom
-2.9443 -3.3859 1.1788
-0.4946 -4.6120 -0.0887
2.4708 -1.4383 6.1663



3.
! TePBr2 GGA-PBE optimized geometry; values from VASP
! VASP energy = -2.77 eV per atom
! Energy above the lowest structure with this stoichiometry = 279.0 meV per atom
! Symmetry = Imm2 (44)
! Formation energy from raw total energies = 0.209 eV per atom
&SYSTEM
  ibrav = 0, nat = 4, ntyp = 3
/
ATOMIC_SPECIES
Br 79.90 Br.upf
Te 127.60 Te.upf
P 30.97 P.upf
ATOMIC_POSITIONS crystal
Br 0.9930 0.9930 0.0000
Br 0.7420 0.2420 0.5000
Te 0.3200 0.8200 0.5000
P 0.4449 0.4449 0.0000
CELL_PARAMETERS angstrom
-5.3232 4.6328 3.3737
-1.8562 1.8794 7.3623
5.0458 -0.7189 -5.9332



4.
! IrCl GGA-PBE optimized geometry; values from VASP
! VASP energy = -4.29 eV per atom
! Energy above the lowest structure with this stoichiometry = 928.7 meV per atom
! Symmetry = Fd-3m (227)
! Formation energy from raw total energies = 1.063 eV per atom
&SYSTEM
  ibrav = 0, nat = 4, ntyp = 2
/
ATOMIC_SPECIES
Cl 35.45 Cl.upf
Ir 192.22 Ir.upf
ATOMIC_POSITIONS crystal
Cl 0.2500 0.2500 0.2500
Cl 0.0000 0.0000 0.0000
Ir 0.7500 0.7500 0.7500
Ir 0.5000 0.5000 0.5000
CELL_PARAMETERS angstrom
4.4971 0.0000 0.0000
2.2485 3.8946 0.0000
2.2485 1.2982 3.6719



5.
! Th2NbNi GGA-PBE optimized geometry; values from VASP
! VASP energy = -7.15 eV per atom
! Symmetry = R-3m (166)
! ΔH_f (0 K) = 0.518 eV/atom
&SYSTEM
  ibrav = 0, nat = 4, ntyp = 3
/
ATOMIC_SPECIES
Th 232.04 Th.upf
Nb 92.91 Nb.upf
Ni 58.69 Ni.upf
ATOMIC_POSITIONS crystal
Th 0.9026 0.9026 0.2922
Th 0.0974 0.0974 0.7078
Nb 0.0000 0.0000 0.0000
Ni 0.5000 0.5000 0.5000
CELL_PARAMETERS angstrom
3.3715 0.0000 0.0000
1.6857 2.9198 0.0000
1.6857 0.9733 9.9332



6.
! Ca2YW GGA-PBE optimized geometry; values from VASP
! VASP energy = -4.93 eV per atom
! Energy above the lowest structure with this stoichiometry = 330.3 meV per atom
! Symmetry = P4/mmm (123)
! ΔH_f (0 K) = 0.928 eV/atom
&SYSTEM
  ibrav = 0, nat = 4, ntyp = 3
/
ATOMIC_SPECIES
Ca 40.08 Ca.upf
Y 88.91 Y.upf
W 183.84 W.upf
ATOMIC_POSITIONS crystal
Ca 0.0000 0.0000 0.4607
Ca 0.0000 0.0000 0.0393
Y 0.5000 0.5000 0.7500
W 0.5000 0.5000 0.2500
CELL_PARAMETERS angstrom
-2.6737 -0.2932 2.8108
1.8727 -3.0816 1.4600
4.0981 4.5628 4.3741



7.
! CsPaTeS6 GGA-PBE optimized geometry; values from VASP
! VASP energy = -4.86 eV per atom
! Symmetry = Imma (74)
! Formation energy from raw total energies = -0.605 eV per atom
&SYSTEM
  ibrav = 0, nat = 18, ntyp = 4
/
ATOMIC_SPECIES
Cs 132.91 Cs.upf
S 32.06 S.upf
Pa 231.04 Pa.upf
Te 127.60 Te.upf
ATOMIC_POSITIONS crystal
Cs 0.8751 0.6251 0.7503
Cs 0.1249 0.3749 0.2497
S 0.5788 0.3288 0.1575
S 0.8206 0.0894 0.2524
S 0.5682 0.3370 0.7476
S 0.1794 0.9106 0.7476
S 0.4212 0.6712 0.8425
S 0.4318 0.0894 0.2524
S 0.8206 0.6630 0.2524
S 0.4318 0.6630 0.2524
S 0.5682 0.9106 0.7476
S 0.1794 0.3370 0.7476
S 0.1750 0.9250 0.3500
S 0.8250 0.0750 0.6500
Pa 0.0000 0.0000 0.5000
Pa 0.5000 0.0000 0.5000
Te 0.5000 0.5000 0.0000
Te 0.5000 0.0000 0.0000
CELL_PARAMETERS angstrom
9.6894 0.0000 0.0000
0.0000 9.2905 0.0000
-4.8447 -4.6453 6.6257



8.
! ZnWCl GGA-PBE optimized geometry; values from VASP
! VASP energy = -3.87 eV per atom
! Energy above the lowest structure with this stoichiometry = 1267.6 meV per atom
! Symmetry = F-43m (216)
! Formation energy from raw total energies = 1.490 eV per atom
&SYSTEM
  ibrav = 0, nat = 3, ntyp = 3
/
ATOMIC_SPECIES
Cl 35.45 Cl.upf
W 183.84 W.upf
Zn 65.41 Zn.upf
ATOMIC_POSITIONS crystal
Cl 0.7500 0.7500 0.7500
W 0.0000 0.0000 0.0000
Zn 0.5000 0.5000 0.5000
CELL_PARAMETERS angstrom
4.1783 0.0000 0.0000
2.0891 3.6185 0.0000
2.0891 1.2062 3.4116